(1)
## Np2CoSi4Pt3 (GGA-PBE)

Data for a relaxed structure of Np2CoSi4Pt3.

Results
**ΔE_f (raw)**: -659 kJ/mol of formula units
**Theoretical density**: 12.06 g cm⁻³
**Density of states at the Fermi level**: 20.8 states/eV/f.u.

Structure (CIF):
```
data_Np2CoSi4Pt3
_cell_length_a 4.1382
_cell_length_b 4.1382
_cell_length_c 9.8948
_cell_angle_alpha 90.00
_cell_angle_beta 90.00
_cell_angle_gamma 90.00
_symmetry_space_group_name_H-M 'P -4 m 2'
_symmetry_Int_Tables_number 115
_symmetry_space_group_name_Hall 'P -4 -2'
loop_
_atom_site_label
_atom_site_fract_x
_atom_site_fract_y
_atom_site_fract_z
Np1 0.0000 0.5000 0.2471
Co1 0.5000 0.5000 0.0000
Si1 0.0000 0.0000 0.5000
Si2 0.0000 0.5000 0.8720
Si3 0.5000 0.5000 0.5000
Pt1 0.0000 0.0000 0.0000
Pt2 0.0000 0.5000 0.6274
```

***

(2)
## K2Hg2S3 (GGA-PBE)

Data for a relaxed structure of K2Hg2S3.

Results
**ΔE_f (raw)**: -424 kJ/mol of formula units
**Theoretical density**: 4.77 g cm⁻³
**Polymorph energy (0 for the lowest one)**: 0 kJ/mol of formula units

Structure (CIF):
```
data_K2Hg2S3
_cell_length_a 16.2596
_cell_length_b 14.9620
_cell_length_c 7.3624
_cell_angle_alpha 90.00
_cell_angle_beta 116.49
_cell_angle_gamma 90.00
_symmetry_space_group_name_H-M 'C 1 2/c 1'
_symmetry_Int_Tables_number 15
_symmetry_space_group_name_Hall '-C 2yc'
loop_
_atom_site_label
_atom_site_fract_x
_atom_site_fract_y
_atom_site_fract_z
K1 0.0000 0.0692 0.2500
K2 0.0000 0.2144 0.7500
K3 0.1101 0.4103 0.6101
Hg1 0.1758 0.2306 0.2485
Hg2 0.2173 0.0747 0.8043
S1 0.1125 0.3783 0.0623
S2 0.1423 0.2107 0.5625
S3 0.1551 0.0730 0.0797
```

***

(3)
## CsSb2Pt (GGA-PBE)

Data for a relaxed structure of CsSb2Pt.

Results
**ΔE_f (raw)**: -184 kJ/mol of formula units
**Theoretical density**: 7.24 g cm⁻³
**Density of states at the Fermi level**: 1.4 states/eV/f.u.
**Polymorph energy (0 for the lowest one)**: 1 kJ/mol of formula units

Structure (CIF):
```
data_CsSb2Pt
_cell_length_a 4.3294
_cell_length_b 4.3294
_cell_length_c 24.2291
_cell_angle_alpha 90.00
_cell_angle_beta 90.00
_cell_angle_gamma 120.00
_symmetry_space_group_name_H-M 'R 3 m'
_symmetry_Int_Tables_number 160
_symmetry_space_group_name_Hall 'R 3 -2"'
loop_
_atom_site_label
_atom_site_fract_x
_atom_site_fract_y
_atom_site_fract_z
Cs1 0.0000 0.0000 0.0000
Sb1 0.0000 0.0000 0.2094
Sb2 0.0000 0.0000 0.4504
Pt1 0.0000 0.0000 0.8289
```

***

(4)
## Ac5IrPd2 (GGA-PBE)

Data for a relaxed structure of Ac5IrPd2.

Results
**Theoretical density**: 8.28 g cm⁻³
**DFT formation energy**: -0.53 eV/atom
**Density of states at the Fermi level**: 5.9 states/eV/f.u.

Structure (CIF):
```
data_Ac5IrPd2
_cell_length_a 6.0579
_cell_length_b 14.8019
_cell_length_c 7.5212
_cell_angle_alpha 90.00
_cell_angle_beta 113.73
_cell_angle_gamma 90.00
_symmetry_space_group_name_H-M 'P 1 21/m 1'
_symmetry_Int_Tables_number 11
_symmetry_space_group_name_Hall '-P 2yb'
loop_
_atom_site_label
_atom_site_fract_x
_atom_site_fract_y
_atom_site_fract_z
Ac1 0.0568 0.1199 0.1133
Ac2 0.2660 0.7500 0.5315
Ac3 0.3379 0.0758 0.6768
Ir1 0.2161 0.2500 0.4329
Pd1 0.1586 0.5600 0.3163
```

***

(5)
## Sr4U3AlP8 (GGA-PBE)

Data for a relaxed structure of Sr4U3AlP8.

Results
**Theoretical density**: 5.63 g cm⁻³
**DFT formation energy**: -0.88 eV/atom
**Density of states at the Fermi level**: 20.0 states/eV/f.u.

Structure (CIF):
```
data_Sr4U3AlP8
_cell_length_a 8.1332
_cell_length_b 8.1332
_cell_length_c 20.6724
_cell_angle_alpha 90.00
_cell_angle_beta 90.00
_cell_angle_gamma 120.00
_symmetry_space_group_name_H-M 'R -3 m'
_symmetry_Int_Tables_number 166
_symmetry_space_group_name_Hall '-R 3 2"'
loop_
_atom_site_label
_atom_site_fract_x
_atom_site_fract_y
_atom_site_fract_z
Sr1 0.0000 0.0000 0.0000
Sr2 0.0000 0.5000 0.0000
U1 0.0000 0.5000 0.5000
Al1 0.0000 0.0000 0.5000
P1 0.0000 0.0000 0.2377
P2 0.0059 0.5030 0.2355
```

***

(6)
## RbTi4O8 (GGA-PBE)

Data for a relaxed structure of RbTi4O8.

Results
**ΔE_f (raw)**: -3627 kJ/mol of formula units
**Theoretical density**: 4.23 g cm⁻³
**Density of states at the Fermi level**: 5.4 states/eV/f.u.

Structure (CIF):
```
data_RbTi4O8
_cell_length_a 10.2637
_cell_length_b 10.2637
_cell_length_c 3.0171
_cell_angle_alpha 90.00
_cell_angle_beta 90.00
_cell_angle_gamma 90.00
_symmetry_space_group_name_H-M 'I 4/m'
_symmetry_Int_Tables_number 87
_symmetry_space_group_name_Hall '-I 4'
loop_
_atom_site_label
_atom_site_fract_x
_atom_site_fract_y
_atom_site_fract_z
Rb1 0.0000 0.0000 0.0000
Ti1 0.1526 0.3352 0.0000
O1 0.0387 0.6674 0.0000
O2 0.1560 0.2038 0.5000
```

***

(7)
## NaZnTc2As (GGA-PBE)

Data for a relaxed structure of NaZnTc2As.

Results
**Theoretical density**: 5.79 g cm⁻³
**DFT formation energy**: 2.08 eV/atom
**Density of states at the Fermi level**: 5.4 states/eV/f.u.

Structure (CIF):
```
data_NaZnTc2As
_cell_length_a 4.6915
_cell_length_b 4.6915
_cell_length_c 4.6838
_cell_angle_alpha 90.00
_cell_angle_beta 90.00
_cell_angle_gamma 90.00
_symmetry_space_group_name_H-M 'P 4/m m m'
_symmetry_Int_Tables_number 123
_symmetry_space_group_name_Hall '-P 4 2'
loop_
_atom_site_label
_atom_site_fract_x
_atom_site_fract_y
_atom_site_fract_z
Na1 0.0000 0.0000 0.0000
Zn1 0.5000 0.5000 0.5000
Tc1 0.0000 0.5000 0.0000
As1 0.0000 0.0000 0.5000
```

***

(8)
## TiCuHg (GGA-PBE)

Data for a relaxed structure of TiCuHg.

Results
**Theoretical density**: 10.33 g cm⁻³
**DFT formation energy**: 0.06 eV/atom
**Density of states at the Fermi level**: 2.1 states/eV/f.u.
**Polymorph energy (0 for the lowest one)**: 0 kJ/mol of formula units

Structure (CIF):
```
data_TiCuHg
_cell_length_a 4.5178
_cell_length_b 4.5178
_cell_length_c 2.8386
_cell_angle_alpha 90.00
_cell_angle_beta 90.00
_cell_angle_gamma 120.00
_symmetry_space_group_name_H-M 'P 3 m 1'
_symmetry_Int_Tables_number 156
_symmetry_space_group_name_Hall 'P 3 -2"'
loop_
_atom_site_label
_atom_site_fract_x
_atom_site_fract_y
_atom_site_fract_z
Ti1 0.0000 0.0000 0.0000
Cu1 0.6667 0.3333 0.4983
Hg1 0.3333 0.6667 0.5006
```